Rb2AsPd2: optimized geometry, PBE.

Cell lengths 4.4920, 4.4920, 19.8841 Å; angles 96.49, 96.49, 90.00 degrees
Positions (direct):
Rb  0.8168  0.8168  0.6336
Rb  0.5668  0.0668  0.1336
Rb  0.9332  0.4332  0.8664
Rb  0.1832  0.1832  0.3664
As  0.5000  0.5000  0.0000
As  0.2500  0.7500  0.5000
Pd  0.4760  0.9760  0.9519
Pd  0.7260  0.7260  0.4519
Pd  0.2740  0.2740  0.5481
Pd  0.0240  0.5240  0.0481

Values from the calculation:
Energy relative to the lowest polymorph listed for this composition (eV per atom): 0.000
Space-group type: I4_1/amd
V (Å³ per atom): 39.61
Magnetization (μB/f.u.): 0.00
ΔH_f (0 K) (meV per atom): -140

LiInCo2: optimized geometry, PBE.

Cell lengths 3.6527, 3.6527, 4.0793 Å; angles 90.00, 90.00, 90.00 degrees
Each line ends with the local moment (μB).
Positions (direct):
Co  0.0000  0.0000  0.0000  1.45
Co  0.5000  0.5000  0.0000  1.45
In  0.5000  0.0000  0.5000  -0.05
Li  0.0000  0.5000  0.5000  -0.02

Values from the calculation:
Space-group type: P4/mmm
V (Å³ per atom): 13.61
Magnetization (μB/f.u.): 2.77
ΔH_f (0 K) (meV per atom): 152